Density functional theory data (PBEsol) for crystalline InMo2I at its relaxed geometry.

a = 4.649 Å, b = 4.649 Å, c = 4.649 Å
α = 60.00°, β = 60.00°, γ = 60.00°
Positions (direct):
In 0.000 0.000 0.000
I 0.500 0.500 0.500
Mo 0.750 0.750 0.750
Mo 0.250 0.250 0.250

Total moment = 0.0 μB/f.u.
Energy relative to the elements, uncorrected = 0.817 eV/atom
SG = Fm-3m, No. 225

=====

Density functional theory data (PBEsol) for crystalline IrRh3 at its relaxed geometry.

a = 3.789 Å, b = 3.789 Å, c = 3.789 Å
α = 90.00°, β = 90.00°, γ = 90.00°
Positions (direct):
Rh 0.500 0.000 0.500
Rh 0.000 0.500 0.500
Rh 0.500 0.500 0.000
Ir 0.000 0.000 0.000

Formation energy from the elements = -0.010 eV/atom
Total moment = 0.0 μB/f.u.
SG = Pm-3m, No. 221

=====

Density functional theory data (PBEsol) for crystalline InNiAu2 at its relaxed geometry.

a = 4.004 Å, b = 4.004 Å, c = 4.906 Å
α = 114.08°, β = 114.08°, γ = 90.00°
Positions (direct):
In 0.500 0.500 0.000
Ni 0.250 0.750 0.500
Au 0.750 0.250 0.500
Au 0.000 0.000 0.000

Formation energy from the elements = -0.085 eV/atom
Total moment = 0.0 μB/f.u.
SG = I-4m2, No. 119

=====

Density functional theory data (PBEsol) for crystalline Ta2IrPdW at its relaxed geometry.

a = 4.674 Å, b = 4.756 Å, c = 4.756 Å
α = 90.00°, β = 90.00°, γ = 90.00°
Positions (direct):
W 0.500 0.000 0.000
Pd 0.500 0.500 0.500
Ta 0.000 0.000 0.500
Ta 0.000 0.500 0.000
Ir 0.000 0.000 0.000

Formation energy from the elements = 1.433 eV/atom
Total moment = 0.0 μB/f.u.
SG = P4/mmm, No. 123